## a
Compound: InCoPO
Source: the Open Quantum Materials Database
Functional: PBE+U
Structure: optimized geometry

For the total moment, the calculation gives 0.173 μB/atom. Its symmetry is P4/nmm (129).

Unit cell a=3.887 b=3.887 c=7.266 alpha=90.00 beta=90.00 gamma=90.00
Each line ends with the local moment (μB).
Atoms (fractional coordinates):
Co1 0.000 0.000 0.500  0.74
Co2 0.500 0.500 0.500  0.74
In1 0.000 0.500 0.145  0.00
In2 0.500 0.000 0.855  0.00
O1 0.000 0.000 0.000  -0.01
O2 0.500 0.500 0.000  -0.01
P1 0.500 0.000 0.358  -0.01
P2 0.000 0.500 0.642  -0.01

=====

## b
Compound: InCoPO
Source: the Open Quantum Materials Database
Functional: PBE+U
Structure: optimized geometry

For the total moment, the calculation gives 0.737 μB/atom. Its symmetry is P4/nmm (129).

Unit cell a=4.146 b=4.146 c=8.633 alpha=90.00 beta=90.00 gamma=90.00
Atoms (fractional coordinates):
Co1 0.750 0.750 0.037
Co2 0.250 0.250 0.963
In1 0.750 0.250 0.500
In2 0.250 0.750 0.500
O1 0.750 0.250 0.000
O2 0.250 0.750 0.000
P1 0.750 0.750 0.313
P2 0.250 0.250 0.687

=====

Tell me which of them is the most stable. Sure, it is a.